Record 1
## TcCl (PBE)

Data for crystalline TcCl at its relaxed geometry.

Lattice parameters (Å, degrees): 10.1029 10.1029 3.5206 90.00 90.00 120.00
Space group P6_3/m (No. 176)
Unique sites:
Tc 0.0107 0.4363 0.2500 x6
Cl 0.1747 0.3656 0.7500 x6

energy above the most stable polymorph in this dataset = 0.720 eV/f.u.
formation energy without anion corrections = 0.23 eV/atom



Record 2
## PmTm2V (PBE)

Data for crystalline PmTm2V at its relaxed geometry.

Lattice parameters (Å, degrees): 3.3561 3.3561 34.2728 90.00 90.00 120.00
Space group R-3m (No. 166, hexagonal axes)
Unique sites:
Pm 0.0000 0.0000 0.0000 x3
Tm 0.0000 0.0000 0.4189 x6
V 0.0000 0.0000 0.5000 x3

energy above the most stable polymorph in this dataset = 1.682 eV/f.u.



Record 3
## Sc3SbH3 (PBE)

Data for crystalline Sc3SbH3 at its relaxed geometry.

Lattice parameters (Å, degrees): 5.766 5.766 5.766 90.00 90.00 90.00
Space group Pm-3n (No. 223)
Unique sites:
Sc 0.000 0.250 0.500 x6
Sb 0.000 0.000 0.000 x2
H 0.000 0.500 0.250 x6

energy above the most stable polymorph in this dataset = 0.000 eV/f.u.



Record 4
## MnReP2S (PBE)

Data for crystalline MnReP2S at its relaxed geometry.

Lattice parameters (Å, degrees): 4.669 4.669 4.504 90.00 90.00 90.00
Space group P4/mmm (No. 123)
Unique sites:
Mn 0.000 0.000 0.000 x1
Re 0.500 0.500 0.500 x1
P 0.000 0.500 0.500 x2
S 0.500 0.500 0.000 x1

energy above the most stable polymorph in this dataset = 0.561 eV/f.u.
formation energy without anion corrections = 1.22 eV/atom



Copy entry 2 word for word.
## PmTm2V (PBE)

Data for crystalline PmTm2V at its relaxed geometry.

Lattice parameters (Å, degrees): 3.3561 3.3561 34.2728 90.00 90.00 120.00
Space group R-3m (No. 166, hexagonal axes)
Unique sites:
Pm 0.0000 0.0000 0.0000 x3
Tm 0.0000 0.0000 0.4189 x6
V 0.0000 0.0000 0.5000 x3

energy above the most stable polymorph in this dataset = 1.682 eV/f.u.



Q: Which formula does entry 4 have?
A: MnReP2S